16
Lattice="-7.377 -1.320 -0.780 0.561 -3.248 0.193 -0.578 0.204 5.119" Properties=species:S:1:pos:R:3 comment="TaBeH2 | Alexandria via LeMat-Bulk | PBE | relaxed" n_ef_per_ev_cell=3.29 polymorph_energy_ev_per_atom=0.0573 pbc="T T T"
Be -0.248 0.088 2.193
Be 0.165 -1.583 1.114
Be -3.945 -2.094 4.459
Be -4.092 -0.517 3.187
H -2.945 -0.393 1.946
H -4.502 -2.417 0.638
H -6.642 -2.574 4.212
H -1.256 -1.611 4.782
H -4.935 -0.749 1.735
H -2.548 -2.068 0.845
H -6.805 -1.001 2.918
H -1.383 -0.031 3.491
Ta -1.863 -1.832 2.825
Ta -1.915 -0.321 0.163
Ta -5.612 -2.502 2.428
Ta -5.543 -0.970 -0.221